1.
Fe2CoPd: relaxed, GGA-PBE.

Output
Total magnetization ... 7.53 μB/f.u.
Energy of formation ... 0.11 eV/atom

The structure in CIF format:
```
data_Fe2CoPd
_space_group_name_H-M_alt 'P 1'
_space_group_IT_number 1
_cell_length_a 4.152
_cell_length_b 4.152
_cell_length_c 4.152
_cell_angle_alpha 60.00
_cell_angle_beta 60.00
_cell_angle_gamma 60.00
loop_
_space_group_symop_operation_xyz
'x,y,z'
loop_
_atom_site_label
_atom_site_fract_x
_atom_site_fract_y
_atom_site_fract_z
Fe1 0.000 0.000 0.000
Fe2 0.250 0.250 0.250
Co1 0.750 0.750 0.750
Pd1 0.500 0.500 0.500
```

---

2.
FeCoSiPd: relaxed, GGA-PBE.

Output
Energy above the most stable polymorph in this dataset ... 0.0 kJ per mole of atoms
Total magnetization ... 3.95 μB/f.u.

The structure in CIF format:
```
data_FeCoSiPd
_space_group_name_H-M_alt 'P 1'
_space_group_IT_number 1
_cell_length_a 4.138
_cell_length_b 4.138
_cell_length_c 4.138
_cell_angle_alpha 60.00
_cell_angle_beta 60.00
_cell_angle_gamma 60.00
loop_
_space_group_symop_operation_xyz
'x,y,z'
loop_
_atom_site_label
_atom_site_fract_x
_atom_site_fract_y
_atom_site_fract_z
Fe1 0.000 0.000 0.000
Co1 0.750 0.750 0.750
Si1 0.500 0.500 0.500
Pd1 0.250 0.250 0.250
```